DFT (SCAN) results for a PBEsol-optimized structure of SrY2Cu.

Calculated values
Energy of formation from the pure elements = 0.227 eV per atom
SG = No. 10

Cell: 3.874 4.545 6.790 Å, 90.00 105.31 90.00°
Positions (direct):
Sr 0.000 0.000 0.000
Y 0.366 0.500 0.702
Y 0.634 0.500 0.298
Cu 0.000 0.000 0.500

DFT (SCAN) results for a PBEsol-optimized structure of FeRu2Se.

Calculated values
Formation energy without anion corrections = 0.94 eV per formula unit
SG = No. 123

Cell: 4.222 4.222 3.006 Å, 90.00 90.00 90.00°
Positions (direct):
Fe 0.000 0.000 0.000
Ru 0.000 0.500 0.500
Ru 0.500 0.000 0.500
Se 0.500 0.500 0.000

DFT (SCAN) results for a PBEsol-optimized structure of CrAg2Mo.

Calculated values
Energy of formation from the pure elements = 0.573 eV per atom
SG = No. 12

Cell: 5.110 5.110 2.607 Å, 90.17 90.17 119.11°
Positions (direct):
Cr 0.000 0.000 0.000
Ag 0.000 0.500 0.500
Ag 0.500 0.000 0.500
Mo 0.500 0.500 0.000